Density functional theory data (PBE-GGA) for a relaxed structure of CdIn4Hg5.

Properties
M_tot: 0.0 μB per formula unit
SG: No. 123
E_form: 13.1 meV per atom

a b c (Å): 3.744 3.744 18.629
angles (deg): 90.00 90.00 90.00
Atoms (fractional coordinates):
Hg 0.500 0.500 0.907
Hg 0.500 0.500 0.296
Hg 0.500 0.500 0.500
Hg 0.500 0.500 0.093
Hg 0.500 0.500 0.704
In 0.000 0.000 0.195
In 0.000 0.000 0.805
In 0.000 0.000 0.601
In 0.000 0.000 0.399
Cd 0.000 0.000 0.000